Compound: Sr2SiPt
Source: Alexandria via LeMat-Bulk
Functional: PBE
Structure: relaxed

a b c (Å): 3.520 3.520 8.973
angles (deg): 90.00 90.00 90.04
Fractional coordinates of all 4 atoms:
Sr: 0.500 0.500 0.326
Si: 0.500 0.500 0.671
Pt: 0.000 0.000 0.580
Sr: 0.000 0.000 0.922

## Properties
For the calculated total energy, the calculation gives -4.0561 eV/atom. The value obtained for the total magnetic moment is 0.000 μB per atom. The symmetry is P4mm, No. 99.